Computed, not measured: a geometry-optimized Zr2PaOs structure at the GGA-PBE level of DFT.

a = 3.277 Å, b = 3.277 Å, c = 7.881 Å
α = 90.00°, β = 90.00°, γ = 90.00°
Space group P4/mmm (No. 123)
Asymmetric unit:
Zr1 0.000 0.000 0.210 (multiplicity 2)
Pa1 0.500 0.500 0.500 (multiplicity 1)
Os1 0.500 0.500 0.000 (multiplicity 1)

Output
- formation energy from the elements (eV/f.u.) = -0.7
- offset from the most stable computed form (kJ/mol of formula units) = 15